No. 1
The following is a DFT calculation (PBE) of a relaxed structure of Ce2HoPu.

Values from the calculation:
* polymorph energy (0 for the lowest one): 12 meV per atom
* ΔH_f (0 K): 0.120 eV per atom
* crystal system: tetragonal
* VASP energy: -7.575 eV per atom
* calculated volume: 27.93 Å³ per atom

CIF file:
```
data_Ce2HoPu
_chemical_formula_sum 'Ce2 Ho1 Pu1'
_cell_length_a 4.868
_cell_length_b 4.868
_cell_length_c 4.714
_cell_angle_alpha 90.00
_cell_angle_beta 90.00
_cell_angle_gamma 90.00
_space_group_name_H-M_alt 'P 4/m m m'
_space_group_IT_number 123
_space_group_name_Hall '-P 4 2'
loop_
_atom_site_label
_atom_site_fract_x
_atom_site_fract_y
_atom_site_fract_z
Ce1 0.000 0.500 0.000
Ho1 0.000 0.000 0.500
Pu1 0.500 0.500 0.500
```

=====

No. 2
The following is a DFT calculation (PBE) of a relaxed structure of ErHfCo10.

Values from the calculation:
* ΔH_f (0 K): -0.123 eV per atom
* crystal system: orthorhombic
* VASP energy: -7.254 eV per atom
* calculated volume: 13.24 Å³ per atom

CIF file:
```
data_ErHfCo10
_chemical_formula_sum 'Er1 Hf1 Co10'
_cell_length_a 3.961
_cell_length_b 4.810
_cell_length_c 8.337
_cell_angle_alpha 90.00
_cell_angle_beta 90.00
_cell_angle_gamma 90.00
_space_group_name_H-M_alt 'P m m m'
_space_group_IT_number 47
_space_group_name_Hall '-P 2 2'
loop_
_atom_site_label
_atom_site_fract_x
_atom_site_fract_y
_atom_site_fract_z
Er1 0.000 0.000 0.000
Hf1 0.000 0.500 0.500
Co1 0.000 0.000 0.342
Co2 0.000 0.500 0.178
Co3 0.500 0.000 0.500
Co4 0.500 0.253 0.255
Co5 0.500 0.500 0.000
```

=====

No. 3
The following is a DFT calculation (PBE) of a relaxed structure of MgPtCl2.

Values from the calculation:
* polymorph energy (0 for the lowest one): 492 meV per atom
* crystal system: monoclinic
* raw formation energy: -0.373 eV per atom
* VASP energy: -3.205 eV per atom
* calculated volume: 20.80 Å³ per atom

CIF file:
```
data_MgPtCl2
_chemical_formula_sum 'Mg1 Pt1 Cl2'
_cell_length_a 4.525
_cell_length_b 4.053
_cell_length_c 4.536
_cell_angle_alpha 90.00
_cell_angle_beta 90.12
_cell_angle_gamma 90.00
_space_group_name_H-M_alt 'P 1 2/m 1'
_space_group_IT_number 10
_space_group_name_Hall '-P 2y'
loop_
_atom_site_label
_atom_site_fract_x
_atom_site_fract_y
_atom_site_fract_z
Mg1 0.000 0.000 0.000
Pt1 0.500 0.000 0.500
Cl1 0.257 0.500 0.257
```

=====

No. 4
The following is a DFT calculation (PBE) of a relaxed structure of Rb2HF4.

Values from the calculation:
* polymorph energy (0 for the lowest one): 124 meV per atom
* crystal system: tetragonal
* VASP energy: -3.717 eV per atom
* calculated volume: 18.06 Å³ per atom

CIF file:
```
data_Rb2HF4
_chemical_formula_sum 'Rb4 H2 F8'
_cell_length_a 4.783
_cell_length_b 4.783
_cell_length_c 11.049
_cell_angle_alpha 90.00
_cell_angle_beta 90.00
_cell_angle_gamma 90.00
_space_group_name_H-M_alt 'I 4/m m m'
_space_group_IT_number 139
_space_group_name_Hall '-I 4 2'
loop_
_atom_site_label
_atom_site_fract_x
_atom_site_fract_y
_atom_site_fract_z
Rb1 0.000 0.000 0.145
H1 0.000 0.000 0.500
F1 0.000 0.000 0.394
F2 0.000 0.500 0.000
```